Record 1
Compound: Cd5In3Hg
Source: Alexandria
Functional: PBE
Structure: relaxed

## Properties
symmetry = I4/mcm
formation energy from the elements = 113 meV per atom
total energy = -1.341 eV per atom

Unit cell a=9.0007 b=9.0007 c=9.0007 alpha=123.88 beta=123.88 gamma=83.40
Fractional positions:
Cd (0.0000, 0.0000, 0.0000)
Cd (0.0621, 0.5621, 0.9131)
Cd (0.1490, 0.0621, 0.5000)
Cd (0.3510, 0.8510, 0.9131)
Cd (0.4379, 0.3510, 0.5000)
Cd (0.5000, 0.5000, 0.0000)
Cd (0.5621, 0.6490, 0.5000)
Cd (0.6490, 0.1490, 0.0869)
Cd (0.8510, 0.9379, 0.5000)
Cd (0.9379, 0.4379, 0.0869)
In (0.1183, 0.3817, 0.5000)
In (0.2500, 0.2500, 0.0000)
In (0.3817, 0.8817, 0.2634)
In (0.6183, 0.1183, 0.7366)
In (0.7500, 0.7500, 0.0000)
In (0.8817, 0.6183, 0.5000)
Hg (0.2500, 0.7500, 0.5000)
Hg (0.7500, 0.2500, 0.5000)

---

Record 2
Compound: CdIn2Hg5
Source: Alexandria
Functional: PBE
Structure: relaxed

## Properties
symmetry = P1
formation energy from the elements = 18 meV per atom
total energy = -0.970 eV per atom

Unit cell a=5.9859 b=6.0559 c=6.4906 alpha=107.93 beta=103.79 gamma=94.14
Fractional positions:
Cd (0.0000, 0.0000, 0.0000)
In (0.6075, 0.6056, 0.0480)
In (0.6226, 0.6084, 0.5420)
Hg (0.0610, 0.0522, 0.4996)
Hg (0.1171, 0.5279, 0.1351)
Hg (0.1482, 0.5949, 0.6548)
Hg (0.5293, 0.1165, 0.1482)
Hg (0.5994, 0.1367, 0.6636)

---

Record 3
Compound: Cd5In4Hg2
Source: Alexandria
Functional: PBE
Structure: relaxed

## Properties
symmetry = P2/m
formation energy from the elements = 38 meV per atom
total energy = -1.429 eV per atom

Unit cell a=7.5872 b=3.3217 c=11.1739 alpha=90.00 beta=93.26 gamma=90.00
Fractional positions:
Cd (0.0000, 0.0000, 0.0000)
Cd (0.0590, 0.0000, 0.2805)
Cd (0.3044, 0.0000, 0.8368)
Cd (0.6956, 0.0000, 0.1632)
Cd (0.9410, 0.0000, 0.7195)
In (0.2032, 0.5000, 0.5493)
In (0.3378, 0.5000, 0.0979)
In (0.6622, 0.5000, 0.9021)
In (0.7968, 0.5000, 0.4507)
Hg (0.4397, 0.0000, 0.3600)
Hg (0.5603, 0.0000, 0.6400)

---

Record 4
Compound: Cd2In12Hg5
Source: Alexandria
Functional: PBE
Structure: relaxed

## Properties
symmetry = C2/m
formation energy from the elements = 38 meV per atom
total energy = -1.867 eV per atom

Unit cell a=9.3869 b=9.3869 c=7.5021 alpha=112.37 beta=112.37 gamma=59.93
Fractional positions:
Cd (0.2027, 0.7973, 0.0000)
Cd (0.7973, 0.2027, 0.0000)
In (0.0294, 0.0294, 0.7190)
In (0.0786, 0.6293, 0.5430)
In (0.1690, 0.5501, 0.1414)
In (0.3707, 0.9214, 0.4570)
In (0.4148, 0.4148, 0.7975)
In (0.4499, 0.8310, 0.8586)
In (0.5501, 0.1690, 0.1414)
In (0.5852, 0.5852, 0.2025)
In (0.6293, 0.0786, 0.5430)
In (0.8310, 0.4499, 0.8586)
In (0.9214, 0.3707, 0.4570)
In (0.9706, 0.9706, 0.2810)
Hg (0.2050, 0.2050, 0.2206)
Hg (0.2290, 0.2290, 0.7897)
Hg (0.5000, 0.5000, 0.5000)
Hg (0.7710, 0.7710, 0.2103)
Hg (0.7950, 0.7950, 0.7794)

---

Q: The lowest total energy belongs to which entry?
A: Cd2In12Hg5